Compound: FeB4As
Source: the Open Quantum Materials Database
Functional: GGA-PBE
Structure: relaxed

Unit cell a=4.572 b=4.572 c=4.572 alpha=141.64 beta=108.99 gamma=83.71
Site moments in Bohr magnetons follow the coordinates.
Sites, in units of the cell vectors:
1 As 0.000 0.000 0.000  0.01
2 B 0.580 0.245 0.335  0.02
3 B 0.090 0.755 0.335  0.02
4 B 0.910 0.245 0.665  0.02
5 B 0.420 0.755 0.665  0.02
6 Fe 0.500 0.500 0.000  2.46

Results
Its space-group type is Immm, No. 71. The total magnetic moment is 0.422 μB/atom. As for the final energy: -6.1555 eV/atom. The calculation puts the energy above the most stable polymorph in this dataset at 0.37 eV/f.u.

=====

Compound: Fe2BAs
Source: the Open Quantum Materials Database
Functional: GGA-PBE
Structure: relaxed

Unit cell a=5.447 b=5.447 c=5.447 alpha=90.00 beta=90.00 gamma=90.00
Sites, in units of the cell vectors:
1 As 0.000 0.000 0.000
2 As 0.500 0.000 0.000
3 As 0.000 0.500 0.000
4 As 0.000 0.000 0.500
5 B 0.500 0.500 0.000
6 B 0.500 0.000 0.500
7 B 0.000 0.500 0.500
8 B 0.500 0.500 0.500
9 Fe 0.268 0.268 0.268
10 Fe 0.732 0.268 0.268
11 Fe 0.268 0.732 0.268
12 Fe 0.732 0.732 0.268
13 Fe 0.268 0.268 0.732
14 Fe 0.732 0.268 0.732
15 Fe 0.268 0.732 0.732
16 Fe 0.732 0.732 0.732

Results
Its space-group type is Pm-3m, No. 221. The total magnetic moment is 0.001 μB/atom. As for the final energy: -6.7972 eV/atom.

=====

Compound: Fe2BAs
Source: the Open Quantum Materials Database
Functional: GGA-PBE
Structure: relaxed

Unit cell a=5.449 b=5.449 c=5.449 alpha=90.00 beta=90.00 gamma=90.00
Sites, in units of the cell vectors:
1 As 0.500 0.500 0.000
2 As 0.500 0.000 0.500
3 As 0.000 0.500 0.500
4 As 0.500 0.500 0.500
5 B 0.000 0.000 0.000
6 B 0.500 0.000 0.000
7 B 0.000 0.500 0.000
8 B 0.000 0.000 0.500
9 Fe 0.232 0.232 0.232
10 Fe 0.768 0.232 0.232
11 Fe 0.232 0.768 0.232
12 Fe 0.768 0.768 0.232
13 Fe 0.232 0.232 0.768
14 Fe 0.768 0.232 0.768
15 Fe 0.232 0.768 0.768
16 Fe 0.768 0.768 0.768

Results
Its space-group type is Pm-3m, No. 221. The total magnetic moment is 0.001 μB/atom. As for the final energy: -6.7972 eV/atom.

=====

Compound: FeB2As
Source: the Open Quantum Materials Database
Functional: GGA-PBE
Structure: relaxed

Unit cell a=3.850 b=3.850 c=3.850 alpha=60.00 beta=60.00 gamma=60.00
Sites, in units of the cell vectors:
1 As 0.500 0.500 0.500
2 B 0.000 0.000 0.000
3 B 0.750 0.750 0.750
4 Fe 0.250 0.250 0.250

Results
Its space-group type is F-43m, No. 216. The total magnetic moment is 0.009 μB/atom. As for the final energy: -5.2789 eV/atom.

=====

Compound: MgFeBAs
Source: the Open Quantum Materials Database
Functional: GGA-PBE
Structure: relaxed

Unit cell a=4.113 b=4.113 c=4.113 alpha=60.00 beta=60.00 gamma=60.00
Sites, in units of the cell vectors:
1 As 0.500 0.500 0.500
2 B 0.000 0.000 0.000
3 Fe 0.250 0.250 0.250
4 Mg 0.750 0.750 0.750

Results
Its space-group type is F-43m, No. 216. The total magnetic moment is 0.001 μB/atom. As for the final energy: -4.7713 eV/atom. The calculation puts the energy above the most stable polymorph in this dataset at 0.00 eV/f.u.

=====

Compound: MgFeBAs
Source: the Open Quantum Materials Database
Functional: GGA-PBE
Structure: relaxed

Unit cell a=4.243 b=4.243 c=4.243 alpha=60.00 beta=60.00 gamma=60.00
Sites, in units of the cell vectors:
1 As 0.250 0.250 0.250
2 B 0.000 0.000 0.000
3 Fe 0.500 0.500 0.500
4 Mg 0.750 0.750 0.750

Results
Its space-group type is F-43m, No. 216. The total magnetic moment is 0.491 μB/atom. As for the final energy: -4.5149 eV/atom. The calculation puts the energy above the most stable polymorph in this dataset at 1.03 eV/f.u.